(i)
5
Lattice="-0.899 0.389 -5.092 -2.813 -4.353 0.164 -4.262 2.790 0.966" Properties=species:S:1:pos:R:3 comment="CoTe3Ru, optimized geometry, DFT PBE" n_ef_per_ev_cell=9.9 pbc="T T T"
Ru 0.000 0.000 0.000
Te -1.406 -2.176 0.082
Te -2.131 1.395 0.483
Te -0.450 0.195 -2.546
Co -3.987 -0.587 -1.981

***

(ii)
5
Lattice="-1.258 4.597 1.022 -4.310 -1.550 1.667 1.897 -0.473 4.465" Properties=species:S:1:pos:R:3 comment="CoTe3Ru, optimized geometry, DFT PBE" n_ef_per_ev_cell=6.1 pbc="T T T"
Ru -1.835 1.287 3.577
Te -2.155 -0.775 0.834
Te 0.949 -0.236 2.232
Te -0.629 2.298 0.511
Co 0.000 0.000 0.000

***

Compare the structures above. Which one is the most stable? (ii) is.